(1)
Compound: MoAsRuSe2
Source: the Alexandria database
Functional: PBE-GGA
Structure: relaxed

Output
- formation energy from raw total energies (eV per atom) = 1.1013
- SG = No. 123
- polymorph energy (0 for the lowest one) (eV/f.u.) = 0.52

The structure in POSCAR format:
```
MoAsRuSe2
1.0
4.794 0.000 0.000
0.000 4.794 0.000
0.000 0.000 4.631
Mo As Ru Se
1 1 1 2
Cartesian
0.000 0.000 0.000 Mo
2.397 2.397 0.000 As
2.397 2.397 2.316 Ru
0.000 2.397 2.316 Se
2.397 0.000 2.316 Se
```

(2)
Compound: SrMoAs2Ru
Source: the Alexandria database
Functional: PBE-GGA
Structure: relaxed

Output
- SG = No. 119
- electronic total energy (eV per atom) = -6.70

The structure in POSCAR format:
```
SrMoAs2Ru
1.0
-2.166 2.166 5.437
2.166 -2.166 5.437
2.166 2.166 -5.437
Sr Mo As Ru
1 1 2 1
Cartesian
0.000 0.000 0.000 Sr
2.166 0.000 2.719 Mo
0.000 0.000 3.927 As
0.000 0.000 6.948 As
0.000 2.166 2.719 Ru
```

(3)
Compound: Ta2MoAsRu
Source: the Alexandria database
Functional: PBE-GGA
Structure: relaxed

Output
- SG = No. 123
- electronic total energy (eV per atom) = -8.64

The structure in POSCAR format:
```
Ta2MoAsRu
1.0
4.696 0.000 0.000
0.000 4.696 0.000
0.000 0.000 4.385
Ta Mo As Ru
2 1 1 1
Cartesian
0.000 2.348 0.000 Ta
2.348 0.000 0.000 Ta
0.000 0.000 2.192 Mo
2.348 2.348 0.000 As
2.348 2.348 2.192 Ru
```

(4)
Compound: TlMo2AsRu
Source: the Alexandria database
Functional: PBE-GGA
Structure: relaxed

Output
- SG = No. 123
- electronic total energy (eV per atom) = -6.37

The structure in POSCAR format:
```
TlMo2AsRu
1.0
4.871 0.000 0.000
0.000 4.871 0.000
0.000 0.000 4.617
Tl Mo As Ru
1 2 1 1
Cartesian
0.000 0.000 0.000 Tl
0.000 2.435 2.309 Mo
2.435 0.000 2.309 Mo
2.435 2.435 0.000 As
2.435 2.435 2.309 Ru
```

(5)
Compound: MoAsS2
Source: the Alexandria database
Functional: PBE-GGA
Structure: relaxed

Output
- formation energy from raw total energies (eV per atom) = -0.2398
- SG = No. 166

The structure in POSCAR format:
```
MoAsS2
1.0
1.594 0.920 8.337
-1.594 0.920 8.337
0.000 -1.841 8.337
Mo As S
1 1 2
Cartesian
0.000 0.000 0.000 Mo
0.000 0.000 12.505 As
0.000 0.000 9.930 S
0.000 0.000 15.081 S
```

(6)
Compound: Mo2AsS
Source: the Alexandria database
Functional: PBE-GGA
Structure: relaxed

Output
- formation energy from raw total energies (eV per atom) = -0.0356
- SG = No. 225
- polymorph energy (0 for the lowest one) (eV/f.u.) = 0.00

The structure in POSCAR format:
```
Mo2AsS
1.0
0.000 3.078 3.078
3.078 0.000 3.078
3.078 3.078 0.000
Mo As S
2 1 1
Cartesian
1.539 1.539 1.539 Mo
4.617 4.617 4.617 Mo
0.000 0.000 0.000 As
3.078 3.078 3.078 S
```

(7)
Compound: MoAsS3
Source: the Alexandria database
Functional: PBE-GGA
Structure: relaxed

Output
- formation energy from raw total energies (eV per atom) = 0.9173
- SG = No. 221
- polymorph energy (0 for the lowest one) (eV/f.u.) = 2.74

The structure in POSCAR format:
```
MoAsS3
1.0
4.686 0.000 0.000
0.000 4.686 0.000
0.000 0.000 4.686
Mo As S
1 1 3
Cartesian
0.000 0.000 0.000 Mo
2.343 2.343 2.343 As
0.000 2.343 2.343 S
2.343 0.000 2.343 S
2.343 2.343 0.000 S
```

(8)
Compound: MoAsS2
Source: the Alexandria database
Functional: PBE-GGA
Structure: relaxed

Output
- formation energy from raw total energies (eV per atom) = 0.2363
- SG = No. 122

The structure in POSCAR format:
```
MoAsS2
1.0
-2.977 2.977 4.972
2.977 -2.977 4.972
2.977 2.977 -4.972
Mo As S
2 2 4
Cartesian
0.000 0.000 0.000 Mo
0.000 2.977 2.486 Mo
2.977 0.000 2.486 As
0.000 0.000 4.972 As
4.466 1.219 -1.243 S
1.219 1.489 1.243 S
-1.489 1.758 3.729 S
1.758 1.489 6.215 S
```

(9)
Compound: MoAs2S
Source: the Alexandria database
Functional: PBE-GGA
Structure: relaxed

Output
- formation energy from raw total energies (eV per atom) = 0.4755
- SG = No. 122

The structure in POSCAR format:
```
MoAs2S
1.0
-2.886 2.886 5.696
2.886 -2.886 5.696
2.886 2.886 -5.696
Mo As S
2 4 2
Cartesian
0.000 0.000 0.000 Mo
0.000 2.886 2.848 Mo
4.329 1.310 -1.424 As
1.310 1.443 1.424 As
-1.443 1.575 4.272 As
1.575 1.443 7.119 As
2.886 0.000 2.848 S
0.000 0.000 5.696 S
```

(10)
Compound: Mo2AsS
Source: the Alexandria database
Functional: PBE-GGA
Structure: relaxed

Output
- formation energy from raw total energies (eV per atom) = 0.1959
- SG = No. 122
- polymorph energy (0 for the lowest one) (eV/f.u.) = 0.93

The structure in POSCAR format:
```
Mo2AsS
1.0
-2.263 2.263 7.257
2.263 -2.263 7.257
2.263 2.263 -7.257
Mo As S
4 2 2
Cartesian
3.395 0.936 -1.814 Mo
0.936 1.132 1.814 Mo
-1.132 1.327 5.443 Mo
1.327 1.132 9.071 Mo
2.263 0.000 3.628 As
0.000 0.000 7.257 As
0.000 0.000 0.000 S
0.000 2.263 3.628 S
```

(11)
Compound: MoAs3S
Source: the Alexandria database
Functional: PBE-GGA
Structure: relaxed

Output
- formation energy from raw total energies (eV per atom) = 0.5251
- SG = No. 221
- polymorph energy (0 for the lowest one) (eV/f.u.) = 0.00

The structure in POSCAR format:
```
MoAs3S
1.0
4.836 0.000 0.000
0.000 4.836 0.000
0.000 0.000 4.836
Mo As S
1 3 1
Cartesian
0.000 0.000 0.000 Mo
0.000 0.000 2.418 As
0.000 2.418 0.000 As
2.418 0.000 0.000 As
2.418 2.418 2.418 S
```

(12)
Compound: MoAsS3
Source: the Alexandria database
Functional: PBE-GGA
Structure: relaxed

Output
- formation energy from raw total energies (eV per atom) = 0.3693
- SG = No. 221
- polymorph energy (0 for the lowest one) (eV/f.u.) = 0.00

The structure in POSCAR format:
```
MoAsS3
1.0
4.687 0.000 0.000
0.000 4.687 0.000
0.000 0.000 4.687
Mo As S
1 1 3
Cartesian
0.000 0.000 0.000 Mo
2.344 2.344 2.344 As
0.000 0.000 2.344 S
0.000 2.344 0.000 S
2.344 0.000 0.000 S
```

(13)
Compound: MoAs3S
Source: the Alexandria database
Functional: PBE-GGA
Structure: relaxed

Output
- formation energy from raw total energies (eV per atom) = 1.0454
- SG = No. 221
- polymorph energy (0 for the lowest one) (eV/f.u.) = 2.60

The structure in POSCAR format:
```
MoAs3S
1.0
4.701 0.000 0.000
0.000 4.701 0.000
0.000 0.000 4.701
Mo As S
1 3 1
Cartesian
0.000 0.000 0.000 Mo
0.000 2.351 2.351 As
2.351 0.000 2.351 As
2.351 2.351 0.000 As
2.351 2.351 2.351 S
```

(14)
Compound: Mo3AsS
Source: the Alexandria database
Functional: PBE-GGA
Structure: relaxed

Output
- formation energy from raw total energies (eV per atom) = 0.6375
- SG = No. 221
- polymorph energy (0 for the lowest one) (eV/f.u.) = 0.00

The structure in POSCAR format:
```
Mo3AsS
1.0
4.450 0.000 0.000
0.000 4.450 0.000
0.000 0.000 4.450
Mo As S
3 1 1
Cartesian
0.000 0.000 2.225 Mo
0.000 2.225 0.000 Mo
2.225 0.000 0.000 Mo
2.225 2.225 2.225 As
0.000 0.000 0.000 S
```

(15)
Compound: MoAsS2
Source: the Alexandria database
Functional: PBE-GGA
Structure: relaxed

Output
- formation energy from raw total energies (eV per atom) = 0.4815
- SG = No. 166

The structure in POSCAR format:
```
MoAsS2
1.0
1.656 0.956 7.829
-1.656 0.956 7.829
0.000 -1.912 7.829
Mo As S
1 1 2
Cartesian
0.000 0.000 0.000 Mo
0.000 0.000 11.744 As
0.000 0.000 2.275 S
0.000 0.000 21.212 S
```

(16)
Compound: SrMo2AsS
Source: the Alexandria database
Functional: PBE-GGA
Structure: relaxed

Output
- formation energy from raw total energies (eV per atom) = 0.7408
- SG = No. 123

The structure in POSCAR format:
```
SrMo2AsS
1.0
4.816 0.000 0.000
0.000 4.816 0.000
0.000 0.000 5.759
Sr Mo As S
1 2 1 1
Cartesian
0.000 0.000 0.000 Sr
0.000 2.408 2.880 Mo
2.408 0.000 2.880 Mo
2.408 2.408 2.880 As
2.408 2.408 0.000 S
```

(17)
Compound: Sb2MoAs
Source: the Alexandria database
Functional: PBE-GGA
Structure: relaxed

Output
- formation energy from raw total energies (eV per atom) = 0.2478
- SG = No. 6

The structure in POSCAR format:
```
Sb2MoAs
1.0
3.688 0.000 0.000
0.000 4.558 0.000
-1.815 0.000 5.048
Sb Mo As
2 1 1
Cartesian
0.000 0.000 0.000 Sb
0.007 2.279 3.064 Sb
1.846 0.000 2.174 Mo
1.851 2.279 0.795 As
```

(18)
Compound: Sb2Mo2As
Source: the Alexandria database
Functional: PBE-GGA
Structure: relaxed

Output
- formation energy from raw total energies (eV per atom) = 0.3088
- SG = No. 127
- polymorph energy (0 for the lowest one) (eV/f.u.) = 0.00

The structure in POSCAR format:
```
Sb2Mo2As
1.0
7.493 0.000 0.000
0.000 7.493 0.000
0.000 0.000 3.473
Sb Mo As
4 4 2
Cartesian
1.105 2.642 0.000 Sb
2.642 6.388 0.000 Sb
4.852 1.105 0.000 Sb
6.388 4.852 0.000 Sb
1.111 4.858 1.736 Mo
2.635 1.111 1.736 Mo
4.858 6.382 1.736 Mo
6.382 2.635 1.736 Mo
0.000 0.000 1.736 As
3.747 3.747 1.736 As
```

(19)
Compound: SbMo2As
Source: the Alexandria database
Functional: PBE-GGA
Structure: relaxed

Output
- formation energy from raw total energies (eV per atom) = 0.2502
- SG = No. 166
- polymorph energy (0 for the lowest one) (eV/f.u.) = 0.88

The structure in POSCAR format:
```
SbMo2As
1.0
1.586 0.916 8.074
-1.586 0.916 8.074
0.000 -1.831 8.074
Sb Mo As
1 2 1
Cartesian
0.000 0.000 0.000 Sb
0.000 0.000 5.886 Mo
0.000 0.000 18.335 Mo
0.000 0.000 12.110 As
```

(20)
Compound: SbMoAs2
Source: the Alexandria database
Functional: PBE-GGA
Structure: relaxed

Output
- formation energy from raw total energies (eV per atom) = 0.0786
- SG = No. 99

The structure in POSCAR format:
```
SbMoAs2
1.0
3.283 0.000 0.000
0.000 3.283 0.000
0.000 0.000 7.620
Sb Mo As
1 1 2
Cartesian
0.000 0.000 0.000 Sb
1.642 1.642 5.736 Mo
0.000 0.000 4.528 As
1.642 1.642 2.986 As
```

(21)
Compound: Sb2MoAs
Source: the Alexandria database
Functional: PBE-GGA
Structure: relaxed

Output
- formation energy from raw total energies (eV per atom) = 0.4178
- SG = No. 12

The structure in POSCAR format:
```
Sb2MoAs
1.0
4.738 -1.719 0.000
4.738 1.719 0.000
-0.782 0.000 5.231
Sb Mo As
2 1 1
Cartesian
1.943 0.000 1.174 Sb
6.751 0.000 4.057 Sb
4.738 0.000 0.000 Mo
-0.391 0.000 2.615 As
```

(22)
Compound: SbMoAs2
Source: the Alexandria database
Functional: PBE-GGA
Structure: relaxed

Output
- formation energy from raw total energies (eV per atom) = 0.2006
- SG = No. 160

The structure in POSCAR format:
```
SbMoAs2
1.0
1.619 0.935 8.881
-1.619 0.935 8.881
0.000 -1.869 8.881
Sb Mo As
1 1 2
Cartesian
0.000 0.000 0.000 Sb
0.000 0.000 6.786 Mo
0.000 0.000 13.923 As
0.000 0.000 20.189 As
```

(23)
Compound: SbMoAs2
Source: the Alexandria database
Functional: PBE-GGA
Structure: relaxed

Output
- formation energy from raw total energies (eV per atom) = 0.2160
- SG = No. 12

The structure in POSCAR format:
```
SbMoAs2
1.0
4.401 -1.675 0.000
4.401 1.675 0.000
-0.895 0.000 5.355
Sb Mo As
1 1 2
Cartesian
0.000 0.000 0.000 Sb
3.953 0.000 2.677 Mo
1.361 0.000 3.675 As
6.545 0.000 1.680 As
```

(24)
Compound: Sb2MoAs
Source: the Alexandria database
Functional: PBE-GGA
Structure: relaxed

Output
- formation energy from raw total energies (eV per atom) = 0.2915
- SG = No. 44

The structure in POSCAR format:
```
Sb2MoAs
1.0
-1.635 2.267 6.142
1.635 -2.267 6.142
1.635 2.267 -6.142
Sb Mo As
2 1 1
Cartesian
0.000 0.000 0.000 Sb
0.000 2.267 2.350 Sb
0.000 0.000 6.000 Mo
1.635 0.000 3.970 As
```

(25)
Compound: SbMoAs2
Source: the Alexandria database
Functional: PBE-GGA
Structure: relaxed

Output
- formation energy from raw total energies (eV per atom) = 0.0241
- SG = No. 166

The structure in POSCAR format:
```
SbMoAs2
1.0
1.609 0.929 8.934
-1.609 0.929 8.934
0.000 -1.858 8.934
Sb Mo As
1 1 2
Cartesian
0.000 0.000 0.000 Sb
0.000 0.000 13.401 Mo
0.000 0.000 6.276 As
0.000 0.000 20.525 As
```

(26)
Compound: SbMoAs2
Source: the Alexandria database
Functional: PBE-GGA
Structure: relaxed

Output
- formation energy from raw total energies (eV per atom) = 0.4492
- SG = No. 44

The structure in POSCAR format:
```
SbMoAs2
1.0
-1.763 2.477 4.388
1.763 -2.477 4.388
1.763 2.477 -4.388
Sb Mo As
1 1 2
Cartesian
0.000 0.000 0.000 Sb
0.000 2.477 1.817 Mo
1.763 0.000 2.137 As
0.000 0.000 4.297 As
```

(27)
Compound: SbMo2As
Source: the Alexandria database
Functional: PBE-GGA
Structure: relaxed

Output
- formation energy from raw total energies (eV per atom) = 0.3150
- SG = No. 10
- polymorph energy (0 for the lowest one) (eV/f.u.) = 1.14

The structure in POSCAR format:
```
SbMo2As
1.0
4.520 0.000 0.000
0.000 3.149 0.000
-2.127 0.000 4.919
Sb Mo As
1 2 1
Cartesian
0.000 0.000 0.000 Sb
1.196 0.000 2.460 Mo
2.260 1.574 0.000 Mo
-1.064 1.574 2.460 As
```

(28)
Compound: SbMo2As
Source: the Alexandria database
Functional: PBE-GGA
Structure: relaxed

Output
- formation energy from raw total energies (eV per atom) = 0.3949
- SG = No. 119
- polymorph energy (0 for the lowest one) (eV/f.u.) = 1.46

The structure in POSCAR format:
```
SbMo2As
1.0
-2.125 2.125 3.903
2.125 -2.125 3.903
2.125 2.125 -3.903
Sb Mo As
1 2 1
Cartesian
0.000 0.000 0.000 Sb
0.000 0.000 3.903 Mo
0.000 2.125 1.951 Mo
2.125 0.000 1.951 As
```

(29)
Compound: Sb2MoAs
Source: the Alexandria database
Functional: PBE-GGA
Structure: relaxed

Output
- formation energy from raw total energies (eV per atom) = 0.2607
- SG = No. 5

The structure in POSCAR format:
```
Sb2MoAs
1.0
2.482 -4.051 0.000
2.482 4.051 0.000
-0.229 0.000 4.695
Sb Mo As
2 1 1
Cartesian
0.000 0.000 0.000 Sb
2.367 -0.600 2.347 Sb
2.367 2.340 2.347 Mo
2.482 1.314 0.000 As
```

| no. | mass density (g/cm3) |
| --- | --- |
| 1 | 6.71 |
| 2 | 7.07 |
| 3 | 10.88 |
| 4 | 8.67 |
| 5 | 5.32 |
| 6 | 8.51 |
| 7 | 4.31 |
| 8 | 4.43 |
| 9 | 4.86 |
| 10 | 6.67 |
| 11 | 5.18 |
| 12 | 4.31 |
| 13 | 5.64 |
| 14 | 7.44 |
| 15 | 5.25 |
| 16 | 4.80 |
| 17 | 8.11 |
| 18 | 8.69 |
| 19 | 9.17 |
| 20 | 7.43 |
| 21 | 8.08 |
| 22 | 7.57 |
| 23 | 7.73 |
| 24 | 7.56 |
| 25 | 7.61 |
| 26 | 7.97 |
| 27 | 9.22 |
| 28 | 9.15 |
| 29 | 7.29 |